The following is a GGA-PBE calculation of a relaxed BeP2HS crystal, from Alexandria via LeMat-Bulk.

Calculated values
- total moment (Bohr magnetons per cell) = 0.614
- ΔE to the lowest computed polymorph (meV per atom) = 437.4
- calculated density (kg/m3) = 2268

Cell: 4.218 4.218 4.280 Å, 90.00 90.00 90.00°
Space group P4/mmm (No. 123)
One atom of each set of equivalent atoms:
Be1 0.000 0.000 0.000 [1 per cell]
P1 0.000 0.500 0.000 [2 per cell]
H1 0.500 0.500 0.500 [1 per cell]
S1 0.000 0.000 0.500 [1 per cell]



The following is a GGA-PBE calculation of a relaxed BeP2HS crystal, from Alexandria via LeMat-Bulk.

Calculated values
- total moment (Bohr magnetons per cell) = 0.000
- ΔE to the lowest computed polymorph (meV per atom) = 0.0
- calculated density (kg/m3) = 1907

Cell: 3.344 3.344 8.102 Å, 90.00 90.00 90.00°
Space group P4/mmm (No. 123)
One atom of each set of equivalent atoms:
Be1 0.000 0.000 0.000 [1 per cell]
P1 0.000 0.500 0.500 [2 per cell]
H1 0.500 0.500 0.500 [1 per cell]
S1 0.500 0.500 0.000 [1 per cell]



The following is a GGA-PBE calculation of a relaxed BePH2S4 crystal, from Alexandria via LeMat-Bulk.

Calculated values
- total moment (Bohr magnetons per cell) = 1.006
- total DFT energy (no corrections) (eV/atom) = -4.32
- calculated density (kg/m3) = 1688

Cell: 5.206 5.863 6.480 Å, 97.67 102.03 116.32°
Space group P1 (No. 1)
One atom of each set of equivalent atoms:
Be1 0.000 0.000 0.000 [1 per cell]
P1 0.247 0.579 0.838 [1 per cell]
H1 0.248 0.019 0.433 [1 per cell]
H2 0.505 0.029 0.244 [1 per cell]
S1 0.106 0.836 0.744 [1 per cell]
S2 0.369 0.174 0.302 [1 per cell]
S3 0.637 0.744 0.099 [1 per cell]
S4 0.893 0.277 0.891 [1 per cell]



The following is a GGA-PBE calculation of a relaxed BePH2S crystal, from Alexandria via LeMat-Bulk.

Calculated values
- total moment (Bohr magnetons per cell) = 0.000
- total DFT energy (no corrections) (eV/atom) = -3.58
- calculated density (kg/m3) = 2246

Cell: 3.209 3.209 5.319 Å, 90.00 90.00 90.00°
Space group P4/mmm (No. 123)
One atom of each set of equivalent atoms:
Be1 0.000 0.000 0.000 [1 per cell]
P1 0.500 0.500 0.000 [1 per cell]
H1 0.000 0.500 0.500 [2 per cell]
S1 0.000 0.000 0.500 [1 per cell]



The following is a GGA-PBE calculation of a relaxed SrBe2PH2 crystal, from Alexandria via LeMat-Bulk.

Calculated values
- total moment (Bohr magnetons per cell) = 0.000
- total DFT energy (no corrections) (eV/atom) = -3.85
- calculated density (kg/m3) = 2745

Cell: 6.358 4.410 6.656 Å, 90.00 115.98 90.00°
Space group P2_1/m (No. 11)
One atom of each set of equivalent atoms:
Sr1 0.200 0.250 0.308 [2 per cell]
Be1 0.374 0.503 0.813 [4 per cell]
P1 0.299 0.750 0.054 [2 per cell]
H1 0.196 0.250 0.683 [2 per cell]
H2 0.363 0.750 0.635 [2 per cell]



The following is a GGA-PBE calculation of a relaxed SrBePH crystal, from Alexandria via LeMat-Bulk.

Calculated values
- total moment (Bohr magnetons per cell) = 0.000
- total DFT energy (no corrections) (eV/atom) = -4.29
- calculated density (kg/m3) = 3489

Cell: 3.8975 3.8975 4.6533 Å, 90.00 90.00 120.00°
Space group P3m1 (No. 156)
One atom of each set of equivalent atoms:
Sr1 0.0000 0.0000 0.0000 [1 per cell]
Be1 0.6667 0.3333 0.5533 [1 per cell]
P1 0.3333 0.6667 0.4655 [1 per cell]
H1 0.6667 0.3333 0.8698 [1 per cell]



The following is a GGA-PBE calculation of a relaxed BeTc2PH crystal, from Alexandria via LeMat-Bulk.

Calculated values
- total moment (Bohr magnetons per cell) = 0.000
- total DFT energy (no corrections) (eV/atom) = -6.75
- calculated density (kg/m3) = 7862

Cell: 4.068 4.068 3.025 Å, 90.00 90.00 90.00°
Space group P4/mmm (No. 123)
One atom of each set of equivalent atoms:
Be1 0.000 0.000 0.000 [1 per cell]
Tc1 0.000 0.500 0.500 [2 per cell]
P1 0.500 0.500 0.000 [1 per cell]
H1 0.000 0.000 0.500 [1 per cell]



The following is a GGA-PBE calculation of a relaxed BeTePH2 crystal, from Alexandria via LeMat-Bulk.

Calculated values
- total moment (Bohr magnetons per cell) = 0.000
- total DFT energy (no corrections) (eV/atom) = -3.23
- calculated density (kg/m3) = 4452

Cell: 3.739 3.739 4.524 Å, 90.00 90.00 90.00°
Space group P4/mmm (No. 123)
One atom of each set of equivalent atoms:
Be1 0.000 0.000 0.000 [1 per cell]
Te1 0.500 0.500 0.500 [1 per cell]
P1 0.000 0.000 0.500 [1 per cell]
H1 0.000 0.500 0.000 [2 per cell]



The following is a GGA-PBE calculation of a relaxed YBePH2 crystal, from Alexandria via LeMat-Bulk.

Calculated values
- total moment (Bohr magnetons per cell) = 0.000
- total DFT energy (no corrections) (eV/atom) = -4.29
- calculated density (kg/m3) = 2580

Cell: 3.851 3.851 5.683 Å, 90.00 90.00 90.00°
Space group P4/mmm (No. 123)
One atom of each set of equivalent atoms:
Y1 0.000 0.000 0.000 [1 per cell]
Be1 0.500 0.500 0.500 [1 per cell]
P1 0.000 0.000 0.500 [1 per cell]
H1 0.000 0.500 0.000 [2 per cell]



The following is a GGA-PBE calculation of a relaxed BeZn2P2H2 crystal, from Alexandria via LeMat-Bulk.

Calculated values
- total moment (Bohr magnetons per cell) = 0.000
- total DFT energy (no corrections) (eV/atom) = -3.16
- calculated density (kg/m3) = 4034

Cell: 3.176 5.550 5.665 Å, 115.33 95.92 106.03°
Space group P-1 (No. 2)
One atom of each set of equivalent atoms:
Be1 0.000 0.000 0.000 [1 per cell]
Zn1 0.444 0.748 0.507 [2 per cell]
P1 0.141 0.336 0.870 [2 per cell]
H1 0.397 0.847 0.825 [2 per cell]



The following is a GGA-PBE calculation of a relaxed PaBe3H12 crystal, from Alexandria via LeMat-Bulk.

Calculated values
- total moment (Bohr magnetons per cell) = 0.000
- total DFT energy (no corrections) (eV/atom) = -3.74
- calculated density (kg/m3) = 3301

Cell: 7.4410 7.4410 5.6688 Å, 90.00 90.00 120.00°
Space group P6_3/mmc (No. 194)
One atom of each set of equivalent atoms:
Pa1 0.3333 0.6667 0.2500 [2 per cell]
Be1 0.1253 0.5627 0.7500 [6 per cell]
H1 0.0439 0.3768 0.2500 [12 per cell]
H2 0.2406 0.4811 0.5725 [12 per cell]



The following is a GGA-PBE calculation of a relaxed PaBeH crystal, from Alexandria via LeMat-Bulk.

Calculated values
- total moment (Bohr magnetons per cell) = 0.971
- ΔE to the lowest computed polymorph (meV per atom) = 272.1
- calculated density (kg/m3) = 9411

Cell: 3.005 3.005 9.421 Å, 90.00 90.00 90.00°
Space group I4mm (No. 107)
One atom of each set of equivalent atoms:
Pa1 0.000 0.000 0.000 [2 per cell]
Be1 0.000 0.000 0.697 [2 per cell]
H1 0.000 0.000 0.398 [2 per cell]



The following is a GGA-PBE calculation of a relaxed PaBeH crystal, from Alexandria via LeMat-Bulk.

Calculated values
- total moment (Bohr magnetons per cell) = 0.000
- ΔE to the lowest computed polymorph (meV per atom) = 114.9
- calculated density (kg/m3) = 9283

Cell: 3.9504 3.9504 3.1905 Å, 90.00 90.00 120.00°
Space group P-6m2 (No. 187)
One atom of each set of equivalent atoms:
Pa1 0.0000 0.0000 0.0000 [1 per cell]
Be1 0.6667 0.3333 0.5000 [1 per cell]
H1 0.3333 0.6667 0.0000 [1 per cell]



The following is a GGA-PBE calculation of a relaxed PaBe2H8 crystal, from Alexandria via LeMat-Bulk.

Calculated values
- total moment (Bohr magnetons per cell) = 2.003
- total DFT energy (no corrections) (eV/atom) = -3.94
- calculated density (kg/m3) = 3018

Cell: 10.100 5.861 5.850 Å, 90.00 125.20 90.00°
Space group C2/m (No. 12)
One atom of each set of equivalent atoms:
Pa1 0.000 0.000 0.000 [2 per cell]
Be1 0.249 0.500 0.251 [4 per cell]
H1 0.150 0.302 0.152 [8 per cell]
H2 0.151 0.000 0.452 [4 per cell]
H3 0.151 0.000 0.848 [4 per cell]



The following is a GGA-PBE calculation of a relaxed PaBeH4 crystal, from Alexandria via LeMat-Bulk.

Calculated values
- total moment (Bohr magnetons per cell) = 0.001
- ΔE to the lowest computed polymorph (meV per atom) = 24.8
- calculated density (kg/m3) = 8492

Cell: 7.404 4.120 6.652 Å, 90.00 109.80 90.00°
Space group C2/c (No. 15)
One atom of each set of equivalent atoms:
Pa1 0.000 0.236 0.250 [4 per cell]
Be1 0.250 0.250 0.000 [4 per cell]
H1 0.033 0.282 0.914 [8 per cell]
H2 0.205 0.050 0.605 [8 per cell]



The following is a GGA-PBE calculation of a relaxed PaBeH4 crystal, from Alexandria via LeMat-Bulk.

Calculated values
- total moment (Bohr magnetons per cell) = 0.000
- ΔE to the lowest computed polymorph (meV per atom) = 0.0
- calculated density (kg/m3) = 8419

Cell: 3.993 4.229 5.733 Å, 90.00 95.96 90.00°
Space group P2_1/m (No. 11)
One atom of each set of equivalent atoms:
Pa1 0.250 0.250 0.231 [2 per cell]
Be1 0.214 0.250 0.719 [2 per cell]
H1 0.000 0.000 0.500 [2 per cell]
H2 0.265 0.518 0.889 [4 per cell]
H3 0.460 0.750 0.385 [2 per cell]



The following is a GGA-PBE calculation of a relaxed PaBeH crystal, from Alexandria via LeMat-Bulk.

Calculated values
- total moment (Bohr magnetons per cell) = 0.002
- ΔE to the lowest computed polymorph (meV per atom) = 0.0
- calculated density (kg/m3) = 9826

Cell: 5.250 4.217 7.387 Å, 90.00 94.94 90.00°
Space group C2/m (No. 12)
One atom of each set of equivalent atoms:
Pa1 0.239 0.000 0.174 [4 per cell]
Be1 0.000 0.246 0.500 [4 per cell]
H1 0.158 0.500 0.122 [4 per cell]



The following is a GGA-PBE calculation of a relaxed Pa2Be16H crystal, from Alexandria via LeMat-Bulk.

Calculated values
- total moment (Bohr magnetons per cell) = 0.000
- total DFT energy (no corrections) (eV/atom) = -4.28
- calculated density (kg/m3) = 5126

Cell: 7.7546 7.7546 11.3315 Å, 90.00 90.00 120.00°
Space group R3m (No. 160, hexagonal axes)
One atom of each set of equivalent atoms:
Pa1 0.0000 0.0000 0.0000 [3 per cell]
Pa2 0.0000 0.0000 0.3157 [3 per cell]
Be1 0.0000 0.0000 0.5625 [3 per cell]
Be2 0.0004 0.2827 0.6549 [18 per cell]
Be3 0.0009 0.5005 0.1566 [9 per cell]
Be4 0.0044 0.5022 0.4980 [9 per cell]
Be5 0.1694 0.3388 0.1521 [9 per cell]
H1 0.0000 0.0000 0.8137 [3 per cell]



The following is a GGA-PBE calculation of a relaxed PaBe2H8Pd crystal, from Alexandria via LeMat-Bulk.

Calculated values
- total moment (Bohr magnetons per cell) = 1.009
- total DFT energy (no corrections) (eV/atom) = -4.14
- calculated density (kg/m3) = 5408

Cell: 4.3945 4.3945 6.6752 Å, 90.00 90.00 120.00°
Space group P-3m1 (No. 164)
One atom of each set of equivalent atoms:
Pa1 0.0000 0.0000 0.0000 [1 per cell]
Be1 0.3333 0.6667 0.2302 [2 per cell]
H1 0.1530 0.3059 0.2853 [6 per cell]
H2 0.3333 0.6667 0.9984 [2 per cell]
Pd1 0.0000 0.0000 0.5000 [1 per cell]



The following is a GGA-PBE calculation of a relaxed Be2HPb crystal, from Alexandria via LeMat-Bulk.

Calculated values
- total moment (Bohr magnetons per cell) = 0.000
- ΔE to the lowest computed polymorph (meV per atom) = 0.0
- calculated density (kg/m3) = 7403

Cell: 4.368 4.368 10.638 Å, 90.00 90.00 90.00°
Space group I4_1/amd (No. 141, origin choice 2)
One atom of each set of equivalent atoms:
Be1 0.000 0.000 0.000 [8 per cell]
H1 0.000 0.250 0.875 [4 per cell]
Pb1 0.000 0.250 0.375 [4 per cell]



The following is a GGA-PBE calculation of a relaxed BeH3Pb crystal, from Alexandria via LeMat-Bulk.

Calculated values
- total moment (Bohr magnetons per cell) = 0.000
- ΔE to the lowest computed polymorph (meV per atom) = 0.0
- calculated density (kg/m3) = 7379

Cell: 3.668 3.668 3.668 Å, 90.00 90.00 90.00°
Space group Pm-3m (No. 221)
One atom of each set of equivalent atoms:
Be1 0.000 0.000 0.000 [1 per cell]
H1 0.000 0.000 0.500 [3 per cell]
Pb1 0.500 0.500 0.500 [1 per cell]



The following is a GGA-PBE calculation of a relaxed Be2HPb crystal, from Alexandria via LeMat-Bulk.

Calculated values
- total moment (Bohr magnetons per cell) = 2.662
- ΔE to the lowest computed polymorph (meV per atom) = 615.5
- calculated density (kg/m3) = 7038

Cell: 5.977 5.977 5.977 Å, 90.00 90.00 90.00°
Space group Fm-3m (No. 225)
One atom of each set of equivalent atoms:
Be1 0.250 0.250 0.250 [8 per cell]
H1 0.000 0.000 0.000 [4 per cell]
Pb1 0.000 0.000 0.500 [4 per cell]



The following is a GGA-PBE calculation of a relaxed BeH3Pb crystal, from Alexandria via LeMat-Bulk.

Calculated values
- total moment (Bohr magnetons per cell) = 0.000
- ΔE to the lowest computed polymorph (meV per atom) = 561.7
- calculated density (kg/m3) = 5007

Cell: 4.174 4.174 4.174 Å, 90.00 90.00 90.00°
Space group Pm-3m (No. 221)
One atom of each set of equivalent atoms:
Be1 0.000 0.000 0.000 [1 per cell]
H1 0.000 0.500 0.500 [3 per cell]
Pb1 0.500 0.500 0.500 [1 per cell]



The following is a GGA-PBE calculation of a relaxed BeHPd2Pb crystal, from Alexandria via LeMat-Bulk.

Calculated values
- total moment (Bohr magnetons per cell) = 0.000
- total DFT energy (no corrections) (eV/atom) = -4.02
- calculated density (kg/m3) = 9934

Cell: 3.948 3.948 4.613 Å, 90.00 90.00 90.00°
Space group P4/mmm (No. 123)
One atom of each set of equivalent atoms:
Be1 0.000 0.000 0.000 [1 per cell]
H1 0.500 0.500 0.500 [1 per cell]
Pd1 0.000 0.500 0.500 [2 per cell]
Pb1 0.500 0.500 0.000 [1 per cell]